No. 1
## BaRe2Pb (PBE)

Data for an optimized crystal structure of BaRe2Pb.

Values from the calculation:
Total energy ... -5.970 eV per atom
Formation energy from the elements ... 1662 meV/atom
Total magnetic moment ... 0.2 μB/cell

Cell: 5.9757 5.9757 2.8720 Å, 90.00 90.00 116.09°
Atoms (fractional coordinates):
Re 0.0000 0.0000 0.0000
Pb 0.0000 0.5000 0.5000
Ba 0.5000 0.0000 0.5000
Re 0.5000 0.5000 0.0000

---

No. 2
## BaRe2Pb (PBE)

Data for an optimized crystal structure of BaRe2Pb.

Values from the calculation:
Total energy ... -6.104 eV per atom
Formation energy from the elements ... 1528 meV/atom
Total magnetic moment ... 0.0 μB/cell

Cell: 3.0804 3.0804 10.0135 Å, 90.00 90.00 113.54°
Atoms (fractional coordinates):
Pb 0.5000 0.5000 0.7500
Ba 0.5000 0.5000 0.2500
Re 0.0000 0.0000 0.5246
Re 0.0000 0.0000 0.9754

---

No. 3
## BaRe2Pb (PBE)

Data for an optimized crystal structure of BaRe2Pb.

Values from the calculation:
Total energy ... -6.406 eV per atom
Formation energy from the elements ... 1226 meV/atom
Total magnetic moment ... 0.0 μB/cell

Cell: 3.8334 3.8334 7.0802 Å, 90.00 90.00 90.00°
Atoms (fractional coordinates):
Ba 0.5000 0.5000 0.2500
Re 0.0000 0.0000 0.9120
Re 0.0000 0.0000 0.5880
Pb 0.5000 0.5000 0.7500

---

Question: total energy of number 2 (BaRe2Pb)?
Answer: -6.104 eV per atom

---

Question: Which formula does entry 2 have?
Answer: BaRe2Pb